The following is a DFT calculation (PBE+U) of a relaxed structure of K2DyW3O12.

Calculated values
- space group = R-3m (166)
- calculated density (Mg/m³) = 5.326
- total DFT energy (no corrections) (eV/atom) = -7.042
- density of states at the Fermi level (states/eV/atom) = 0.612

Unit cell a=7.627 b=7.627 c=7.627 alpha=59.04 beta=59.04 gamma=59.04
Atoms (fractional coordinates):
K 0.155 0.155 0.155
K 0.845 0.845 0.845
Dy 0.500 0.500 0.500
W 0.000 0.500 0.500
W 0.500 0.000 0.500
W 0.500 0.500 0.000
O 0.143 0.579 0.579
O 0.200 0.200 0.566
O 0.200 0.566 0.200
O 0.421 0.421 0.857
O 0.421 0.857 0.421
O 0.434 0.800 0.800
O 0.566 0.200 0.200
O 0.579 0.143 0.579
O 0.579 0.579 0.143
O 0.800 0.434 0.800
O 0.800 0.800 0.434
O 0.857 0.421 0.421